Entry 1:
DFT (PBE-GGA) results for PrGaGePt3 after structural relaxation.

As for the energy of formation: -746 meV per atom. The raw total energy comes out at -5.837 eV/atom. The value obtained for the density of states at the Fermi level is 0.421 states/eV per atom.

It has space group Cmcm (No. 63), with a = 5.685 Å, b = 16.024 Å, c = 5.715 Å, α = 90.00°, β = 90.00° and γ = 90.00°. Symmetry generates all atoms from Pr at (0.000, 0.186, 0.250), Ga at (0.000, 0.098, 0.750), Ge at (0.000, 0.406, 0.750), Pt at (0.000, 0.253, 0.750) and Pt at (0.249, 0.000, 0.000).

---

Entry 2:
DFT (PBE-GGA) results for AcNdTlGe after structural relaxation.

As for the energy of formation: -414 meV per atom. The raw total energy comes out at -4.379 eV/atom. The value obtained for the density of states at the Fermi level is 0.666 states/eV per atom.

It has space group F-43m (No. 216), with a = 7.830 Å, b = 7.830 Å, c = 7.830 Å, α = 90.00°, β = 90.00° and γ = 90.00°. Symmetry generates all atoms from Ac at (0.000, 0.000, 0.000), Nd at (0.000, 0.000, 0.500), Tl at (0.250, 0.250, 0.750) and Ge at (0.250, 0.250, 0.250).

---

Entry 3:
DFT (PBE-GGA) results for Sc4Zn2Ga after structural relaxation.

As for the energy of formation: -267 meV per atom. The raw total energy comes out at -4.682 eV/atom. The value obtained for the density of states at the Fermi level is 1.238 states/eV per atom.

It has space group R-3m (No. 166, hexagonal axes), with a = 4.6825 Å, b = 4.6825 Å, c = 22.7958 Å, α = 90.00°, β = 90.00° and γ = 120.00°. Symmetry generates all atoms from Sc at (0.0000, 0.0000, 0.1186), Sc at (0.0000, 0.0000, 0.3712), Zn at (0.0000, 0.0000, 0.2473) and Ga at (0.0000, 0.0000, 0.5000).

---

Entry 4:
DFT (PBE-GGA) results for Co4WCl after structural relaxation.

The raw total energy comes out at -6.490 eV/atom. Its uncorrected formation energy is 0.714 eV/atom. The value obtained for the density of states at the Fermi level is 1.882 states/eV per atom.

It has space group F-43m (No. 216), with a = 6.722 Å, b = 6.722 Å, c = 6.722 Å, α = 90.00°, β = 90.00° and γ = 90.00°. Symmetry generates all atoms from Co at (0.124, 0.124, 0.124), W at (0.250, 0.250, 0.750) and Cl at (0.000, 0.000, 0.500).

---

Entry 5:
DFT (PBE-GGA) results for Fe2PRh after structural relaxation.

As for the energy of formation: -152 meV per atom. The raw total energy comes out at -7.573 eV/atom. The value obtained for the density of states at the Fermi level is 1.323 states/eV per atom.

It has space group P4/mmm (No. 123), with a = 2.734 Å, b = 2.734 Å, c = 6.218 Å, α = 90.00°, β = 90.00° and γ = 90.00°. Symmetry generates all atoms from Fe at (0.000, 0.000, 0.210), P at (0.500, 0.500, 0.000) and Rh at (0.500, 0.500, 0.500).

---

Entry 6:
DFT (PBE-GGA) results for CaAcPrNd after structural relaxation.

As for the energy of formation: 36 meV per atom. The raw total energy comes out at -3.879 eV/atom. The value obtained for the density of states at the Fermi level is 1.383 states/eV per atom.

It has space group P4mm (No. 99), with a = 3.822 Å, b = 3.822 Å, c = 10.811 Å, α = 90.00°, β = 90.00° and γ = 90.00°. Symmetry generates all atoms from Ca at (0.000, 0.000, 0.000), Ac at (0.500, 0.500, 0.726), Pr at (0.000, 0.000, 0.475) and Nd at (0.500, 0.500, 0.251).

---

Entry 7:
DFT (PBE-GGA) results for Pr2AlP after structural relaxation.

As for the energy of formation: -369 meV per atom. The raw total energy comes out at -5.047 eV/atom. The value obtained for the density of states at the Fermi level is 1.010 states/eV per atom.

It has space group R-3m (No. 166, hexagonal axes), with a = 3.9095 Å, b = 3.9095 Å, c = 29.5936 Å, α = 90.00°, β = 90.00° and γ = 120.00°. Symmetry generates all atoms from Pr at (0.0000, 0.0000, 0.1092), Al at (0.0000, 0.0000, 0.0000) and P at (0.0000, 0.0000, 0.5000).

---

Entry 8:
DFT (PBE-GGA) results for CsTeI2N after structural relaxation.

The raw total energy comes out at -1.956 eV/atom. Its uncorrected formation energy is 1.128 eV/atom. The value obtained for the density of states at the Fermi level is 2.180 states/eV per atom.

It has space group P4/mmm (No. 123), with a = 7.492 Å, b = 7.492 Å, c = 7.967 Å, α = 90.00°, β = 90.00° and γ = 90.00°. Symmetry generates all atoms from Cs at (0.000, 0.000, 0.000), Te at (0.000, 0.000, 0.500), I at (0.000, 0.500, 0.000) and N at (0.500, 0.500, 0.500).